(1)
DFT (GGA-PBEsol) results for an optimized crystal structure of Y2C.

The structure belongs to space group Cmcm (No. 63); the cell edges are 3.514, 15.406 and 5.048 Å and the angles 90.00°, 90.00° and 90.00°. Symmetry generates all atoms from Y at (0.000, 0.084, 0.250), Y at (0.000, 0.300, 0.250) and C at (0.000, 0.313, 0.750).

The raw total energy is -8.00 eV/atom.

(2)
DFT (GGA-PBEsol) results for an optimized crystal structure of ZrAgP2.

The structure belongs to space group P4mm (No. 99); the cell edges are 3.621, 3.621 and 5.284 Å and the angles 90.00°, 90.00° and 90.00°. Symmetry generates all atoms from Zr at (0.000, 0.000, 0.000), Ag at (0.500, 0.500, 0.369), P at (0.000, 0.000, 0.477) and P at (0.500, 0.500, 0.874).

The calculation puts the energy above the most stable polymorph in this dataset at 0 meV per atom. The raw total energy is -6.53 eV/atom.

(3)
DFT (GGA-PBEsol) results for an optimized crystal structure of In2AuCl.

The structure belongs to space group Immm (No. 71); the cell edges are 5.023, 5.039 and 7.120 Å and the angles 90.00°, 90.00° and 90.00°. Symmetry generates all atoms from In at (0.000, 0.000, 0.249), Au at (0.000, 0.500, 0.500) and Cl at (0.000, 0.500, 0.000).

The raw formation energy is -273 meV per atom. The calculation puts the energy above the most stable polymorph in this dataset at 155 meV per atom. The raw total energy is -3.25 eV/atom.

(4)
DFT (GGA-PBEsol) results for an optimized crystal structure of ScTiIr3.

The structure belongs to space group Pm-3m (No. 221); the cell edges are 4.518, 4.518 and 4.518 Å and the angles 90.00°, 90.00° and 90.00°. Symmetry generates all atoms from Sc at (0.000, 0.000, 0.000), Ti at (0.500, 0.500, 0.500) and Ir at (0.000, 0.500, 0.500).

The raw total energy is -8.44 eV/atom.

(5)
DFT (GGA-PBEsol) results for an optimized crystal structure of PdCl2F.

The structure belongs to space group Fm-3m (No. 225); the cell edges are 6.068, 6.068 and 6.068 Å and the angles 90.00°, 90.00° and 90.00°. Symmetry generates all atoms from Pd at (0.000, 0.000, 0.000), Cl at (0.250, 0.250, 0.250) and F at (0.000, 0.000, 0.500).

The raw formation energy is -59 meV per atom. The raw total energy is -3.03 eV/atom.

(6)
DFT (GGA-PBEsol) results for an optimized crystal structure of MgPd3.

The structure belongs to space group Pm-3m (No. 221); the cell edges are 3.905, 3.905 and 3.905 Å and the angles 90.00°, 90.00° and 90.00°. Symmetry generates all atoms from Mg at (0.000, 0.000, 0.000) and Pd at (0.000, 0.500, 0.500).

The raw total energy is -5.36 eV/atom.

(7)
DFT (GGA-PBEsol) results for an optimized crystal structure of Re2HgTe.

The structure belongs to space group C2/m (No. 12); the cell edges are 8.536, 3.041 and 5.534 Å and the angles 90.00°, 100.46° and 90.00°. Symmetry generates all atoms from Re at (0.250, 0.000, 0.221), Hg at (0.000, 0.000, 0.500) and Te at (0.000, 0.500, 0.000).

The raw formation energy is 905 meV per atom. The calculation puts the energy above the most stable polymorph in this dataset at 396 meV per atom. The raw total energy is -6.78 eV/atom.

(8)
DFT (GGA-PBEsol) results for an optimized crystal structure of Ba3PPb.

The structure belongs to space group Pm-3m (No. 221); the cell edges are 6.386, 6.386 and 6.386 Å and the angles 90.00°, 90.00° and 90.00°. Symmetry generates all atoms from Ba at (0.000, 0.000, 0.500), P at (0.500, 0.500, 0.500) and Pb at (0.000, 0.000, 0.000).

The raw total energy is -3.12 eV/atom.

(9)
DFT (GGA-PBEsol) results for an optimized crystal structure of ZnCd5.

The structure belongs to space group Amm2 (No. 38); the cell edges are 5.539, 2.887 and 15.028 Å and the angles 90.00°, 90.00° and 90.00°. Symmetry generates all atoms from Zn at (0.000, 0.000, 0.000), Cd at (0.000, 0.000, 0.339), Cd at (0.000, 0.000, 0.661), Cd at (0.500, 0.000, 0.111), Cd at (0.500, 0.000, 0.446) and Cd at (0.500, 0.000, 0.779).

The raw total energy is -1.22 eV/atom.

(10)
DFT (GGA-PBEsol) results for an optimized crystal structure of Ca2TlSn.

The structure belongs to space group Fm-3m (No. 225); the cell edges are 7.603, 7.603 and 7.603 Å and the angles 90.00°, 90.00° and 90.00°. Symmetry generates all atoms from Ca at (0.250, 0.250, 0.250), Tl at (0.000, 0.000, 0.000) and Sn at (0.000, 0.000, 0.500).

The raw total energy is -3.37 eV/atom.

(11)
DFT (GGA-PBEsol) results for an optimized crystal structure of Ca5Y.

The structure belongs to space group Cm (No. 8); the cell edges are 14.104, 3.758 and 9.031 Å and the angles 90.00°, 106.12° and 90.00°. Symmetry generates all atoms from Ca at (0.000, 0.000, 0.000), Ca at (0.053, 0.000, 0.621), Ca at (0.164, 0.500, 0.332), Ca at (0.325, 0.000, 0.681), Ca at (0.384, 0.000, 0.272) and Y at (0.218, 0.500, 0.948).

The calculation puts the energy above the most stable polymorph in this dataset at 17 meV per atom. The raw total energy is -2.84 eV/atom.

(12)
DFT (GGA-PBEsol) results for an optimized crystal structure of PIrPb2.

The structure belongs to space group P4/mmm (No. 123); the cell edges are 3.246, 3.246 and 7.672 Å and the angles 90.00°, 90.00° and 90.00°. Symmetry generates all atoms from P at (0.000, 0.000, 0.000), Ir at (0.000, 0.000, 0.500) and Pb at (0.500, 0.500, 0.265).

The raw total energy is -5.42 eV/atom.

(13)
DFT (GGA-PBEsol) results for an optimized crystal structure of La3WI.

The structure belongs to space group Pm-3m (No. 221); the cell edges are 5.540, 5.540 and 5.540 Å and the angles 90.00°, 90.00° and 90.00°. Symmetry generates all atoms from La at (0.000, 0.000, 0.500), W at (0.000, 0.000, 0.000) and I at (0.500, 0.500, 0.500).

The raw formation energy is 187 meV per atom. The raw total energy is -6.14 eV/atom.

(14)
DFT (GGA-PBEsol) results for an optimized crystal structure of LiPNF2.

The structure belongs to space group P4/mmm (No. 123); the cell edges are 4.182, 4.182 and 3.307 Å and the angles 90.00°, 90.00° and 90.00°. Symmetry generates all atoms from Li at (0.000, 0.000, 0.000), P at (0.500, 0.500, 0.500), N at (0.500, 0.500, 0.000) and F at (0.000, 0.500, 0.500).

The raw formation energy is -1084 meV per atom. The raw total energy is -5.11 eV/atom.

(15)
DFT (GGA-PBEsol) results for an optimized crystal structure of Zr3HF.

The structure belongs to space group Pm-3m (No. 221); the cell edges are 4.307, 4.307 and 4.307 Å and the angles 90.00°, 90.00° and 90.00°. Symmetry generates all atoms from Zr at (0.000, 0.000, 0.500), H at (0.000, 0.000, 0.000) and F at (0.500, 0.500, 0.500).

The raw total energy is -6.73 eV/atom.